Record 1
The following is a DFT calculation (GGA-PBE) of a geometry-optimized Cd3In8Hg structure.

The formation energy comes out at 0.090 eV per atom.

```
data_Cd3In8Hg
_space_group_name_H-M_alt 'P -3 1 m'
_space_group_IT_number 162
_space_group_name_Hall '-P 3 2'
_cell_length_a 8.1551
_cell_length_b 8.1551
_cell_length_c 5.9417
_cell_angle_alpha 90.00
_cell_angle_beta 90.00
_cell_angle_gamma 120.00
loop_
_atom_site_label
_atom_site_fract_x
_atom_site_fract_y
_atom_site_fract_z
_atom_site_occupancy
Cd1 0.0000 0.0000 0.0000 1
Cd2 0.3333 0.6667 0.0000 1
In1 0.0000 0.3290 0.2506 1
In2 0.3333 0.6667 0.5000 1
Hg1 0.0000 0.0000 0.5000 1
```

***

Record 2
The following is a DFT calculation (GGA-PBE) of a geometry-optimized Cd8InHg6 structure.

The formation energy comes out at 0.049 eV per atom. Its energy relative to the lowest polymorph listed for this composition is 0.00 eV/f.u.

```
data_Cd8InHg6
_space_group_name_H-M_alt 'R -3'
_space_group_IT_number 148
_space_group_name_Hall '-R 3'
_cell_length_a 8.8503
_cell_length_b 8.8503
_cell_length_c 16.5547
_cell_angle_alpha 90.00
_cell_angle_beta 90.00
_cell_angle_gamma 120.00
loop_
_atom_site_label
_atom_site_fract_x
_atom_site_fract_y
_atom_site_fract_z
_atom_site_occupancy
Cd1 0.0000 0.0000 0.0843 1
Cd2 0.0534 0.2362 0.6749 1
In1 0.0000 0.0000 0.5000 1
Hg1 0.0312 0.2829 0.1876 1
```

***

Record 3
The following is a DFT calculation (GGA-PBE) of a geometry-optimized CdIn2Hg structure.

The formation energy comes out at 0.023 eV per atom. Its energy relative to the lowest polymorph listed for this composition is 0.07 eV/f.u.

```
data_CdIn2Hg
_space_group_name_H-M_alt 'P m m 2'
_space_group_IT_number 25
_cell_length_a 3.2902
_cell_length_b 4.8629
_cell_length_c 6.4084
_cell_angle_alpha 90.00
_cell_angle_beta 90.00
_cell_angle_gamma 90.00
loop_
_space_group_symop_operation_xyz
'x,y,z'
'-x,-y,z'
'-x,y,z'
'x,-y,z'
loop_
_atom_site_label
_atom_site_fract_x
_atom_site_fract_y
_atom_site_fract_z
_atom_site_occupancy
Cd1 0.0000 0.0000 0.0000 1
In1 0.0000 0.0000 0.4971 1
In2 0.5000 0.5000 0.7511 1
Hg1 0.5000 0.5000 0.2452 1
```

***

Record 4
The following is a DFT calculation (GGA-PBE) of a geometry-optimized Cd2InHgIr structure.

The formation energy comes out at 1.280 eV per atom. Its energy relative to the lowest polymorph listed for this composition is 5.84 eV/f.u.

```
data_Cd2InHgIr
_space_group_name_H-M_alt 'P 4/m m m'
_space_group_IT_number 123
_space_group_name_Hall '-P 4 2'
_cell_length_a 5.3616
_cell_length_b 5.3616
_cell_length_c 5.3963
_cell_angle_alpha 90.00
_cell_angle_beta 90.00
_cell_angle_gamma 90.00
loop_
_atom_site_label
_atom_site_fract_x
_atom_site_fract_y
_atom_site_fract_z
_atom_site_occupancy
Cd1 0.0000 0.5000 0.0000 1
In1 0.0000 0.0000 0.0000 1
Hg1 0.0000 0.0000 0.5000 1
Ir1 0.5000 0.5000 0.5000 1
```

***

Record 5
The following is a DFT calculation (GGA-PBE) of a geometry-optimized Cd2InHgIr structure.

The formation energy comes out at 0.111 eV per atom. Its energy relative to the lowest polymorph listed for this composition is 0.00 eV/f.u.

```
data_Cd2InHgIr
_space_group_name_H-M_alt 'P 4/m m m'
_space_group_IT_number 123
_space_group_name_Hall '-P 4 2'
_cell_length_a 5.2706
_cell_length_b 5.2706
_cell_length_c 5.1765
_cell_angle_alpha 90.00
_cell_angle_beta 90.00
_cell_angle_gamma 90.00
loop_
_atom_site_label
_atom_site_fract_x
_atom_site_fract_y
_atom_site_fract_z
_atom_site_occupancy
Cd1 0.0000 0.5000 0.0000 1
In1 0.0000 0.0000 0.5000 1
Hg1 0.5000 0.5000 0.5000 1
Ir1 0.0000 0.0000 0.0000 1
```

***

Record 6
The following is a DFT calculation (GGA-PBE) of a geometry-optimized KCdIn2Hg8 structure.

The formation energy comes out at -0.028 eV per atom.

```
data_KCdIn2Hg8
_space_group_name_H-M_alt 'C 1 2/m 1'
_space_group_IT_number 12
_cell_length_a 9.7259
_cell_length_b 6.3543
_cell_length_c 11.4499
_cell_angle_alpha 90.00
_cell_angle_beta 98.17
_cell_angle_gamma 90.00
loop_
_space_group_symop_operation_xyz
'x,y,z'
'-x,-y,-z'
'-x,y,-z'
'x,-y,z'
'x+1/2,y+1/2,z'
'-x+1/2,-y+1/2,-z'
'-x+1/2,y+1/2,-z'
'x+1/2,-y+1/2,z'
loop_
_atom_site_label
_atom_site_fract_x
_atom_site_fract_y
_atom_site_fract_z
_atom_site_occupancy
K1 0.0000 0.0000 0.0000 1
Cd1 0.0000 0.0000 0.5000 1
In1 0.1722 0.5000 0.8166 1
Hg1 0.0773 0.2411 0.2898 1
Hg2 0.1677 0.5000 0.5272 1
Hg3 0.1818 0.5000 0.0869 1
```

***

no.,M_tot (μB/cell)
1,0.000
2,0.000
3,0.000
4,2.037
5,0.000
6,0.000